! LiDy5Tl6 GGA-PBE optimized geometry; values from VASP
! - calculated total energy (eV/cell) = -43.0
! - size of the total moment (μB per formula unit) = 0.000
! - DOS at the Fermi energy (states/eV/atom) = 0.680
! - DFT formation energy (eV per atom) = -0.33
&SYSTEM
  ibrav = 0, nat = 12, ntyp = 3
/
ATOMIC_SPECIES
Li 6.94 Li.upf
Dy 162.50 Dy.upf
Tl 204.38 Tl.upf
CELL_PARAMETERS angstrom
-2.6309 3.7934 7.9756
2.6309 -3.7934 7.9756
2.6309 3.7934 -7.9756
ATOMIC_POSITIONS crystal
Li 0.0000 0.0000 0.0000
Dy 0.1638 0.6638 0.5000
Dy 0.3335 0.3335 0.0000
Dy 0.5000 0.0000 0.5000
Dy 0.6665 0.6665 0.0000
Dy 0.8362 0.3362 0.5000
Tl 0.0823 0.8375 0.2448
Tl 0.2387 0.5000 0.7387
Tl 0.4073 0.1625 0.2448
Tl 0.5927 0.8375 0.7552
Tl 0.7613 0.5000 0.2613
Tl 0.9177 0.1625 0.7552